Run a
Computed, not measured: an optimized crystal structure of ErTaCo2 at the GGA-PBE level of DFT.

POSCAR file:
```
ErTaCo2
1.0
-1.438 3.523 1.707
-3.810 1.386 -0.975
-3.511 -0.764 3.716
Ta Co Er
1 2 1
direct
0.500 0.500 0.500
0.787 0.787 0.638
0.213 0.213 0.362
0.000 0.000 0.000
```

* magnetization: 0.0 Bohr magnetons per cell
* theoretical density: 11.24 Mg/m³
* SG: No. 166


Run b
Computed, not measured: an optimized crystal structure of ErTaCo2 at the GGA-PBE level of DFT.

POSCAR file:
```
ErTaCo2
1.0
-3.843 0.352 -2.280
-0.753 -2.639 -3.544
-3.060 -3.266 0.248
Er Ta Co
1 1 2
direct
0.000 0.000 0.000
0.500 0.500 0.500
0.250 0.250 0.250
0.750 0.750 0.750
```

* magnetization: 1.0 Bohr magnetons per cell
* theoretical density: 12.15 Mg/m³
* SG: No. 225


Short version: run b is the least stable of them.


Run a
Computed, not measured: an optimized crystal structure of ErTaCo2 at the GGA-PBE level of DFT.

POSCAR file:
```
ErTaCo2
1.0
3.105 0.000 0.000
0.000 3.105 0.000
0.000 0.000 6.723
Ta Co Er
1 2 1
direct
0.500 0.500 0.000
0.000 0.000 0.796
0.000 0.000 0.204
0.500 0.500 0.500
```

* magnetization: 0.0 Bohr magnetons per cell
* theoretical density: 11.94 Mg/m³
* SG: No. 123


Run b
Computed, not measured: an optimized crystal structure of ErTaCo2 at the GGA-PBE level of DFT.

POSCAR file:
```
ErTaCo2
1.0
3.050 0.000 0.000
0.000 4.563 0.000
0.000 0.000 4.563
Co Er Ta
2 1 1
direct
0.000 0.500 0.000
0.000 0.000 0.500
0.500 0.500 0.500
0.500 0.000 0.000
```

* magnetization: 1.3 Bohr magnetons per cell
* theoretical density: 12.19 Mg/m³
* SG: No. 123


Short version: run b is the least stable of them.


Run a
Computed, not measured: an optimized crystal structure of Tb2ErCo at the GGA-PBE level of DFT.

POSCAR file:
```
Tb2ErCo
1.0
3.426 0.000 0.000
0.000 3.426 0.000
0.000 0.000 8.710
Tb Co Er
2 1 1
direct
0.000 0.000 0.813
0.000 0.000 0.187
0.500 0.500 0.000
0.500 0.500 0.500
```

* magnetization: 1.2 Bohr magnetons per cell
* theoretical density: 8.84 Mg/m³
* SG: No. 123


Run b
Computed, not measured: an optimized crystal structure of Tb2ErCo at the GGA-PBE level of DFT.

POSCAR file:
```
Tb2ErCo
1.0
-2.047 -2.008 -2.320
-1.107 -2.092 5.722
-7.030 6.145 0.887
Tb Er Co
4 2 2
direct
0.861 0.722 0.572
0.861 0.722 0.928
0.139 0.278 0.428
0.139 0.278 0.072
0.414 0.828 0.250
0.586 0.172 0.750
0.745 0.490 0.250
0.255 0.510 0.750
```

* magnetization: 0.0 Bohr magnetons per cell
* theoretical density: 8.84 Mg/m³
* SG: No. 63


Run c
Computed, not measured: an optimized crystal structure of Tb2ErCo at the GGA-PBE level of DFT.

POSCAR file:
```
Tb2ErCo
1.0
6.187 0.000 0.000
0.000 6.945 0.000
0.000 0.000 9.475
Co Tb Er
4 8 4
direct
0.048 0.386 0.250
0.548 0.114 0.750
0.952 0.614 0.750
0.452 0.886 0.250
0.677 0.824 0.568
0.823 0.324 0.932
0.677 0.824 0.932
0.177 0.676 0.432
0.323 0.176 0.068
0.823 0.324 0.568
0.177 0.676 0.068
0.323 0.176 0.432
0.145 0.957 0.750
0.355 0.457 0.750
0.645 0.543 0.250
0.855 0.043 0.250
```

* magnetization: 0.0 Bohr magnetons per cell
* theoretical density: 8.88 Mg/m³
* SG: No. 62


Short version: run a is the least stable of them.